Below is crystalline TlReMo2 at its relaxed geometry, with properties calculated at the PBE level.

Results
SG = I4/mmm
crystal system = tetragonal
E above lowest polymorph = 6.17 kcal/mol of atoms

```
TlReMo2
1.0
-2.007 2.007 4.193
2.007 -2.007 4.193
2.007 2.007 -4.193
Tl Re Mo
1 1 2
direct
0.000 0.000 0.000
0.500 0.500 0.000
0.250 0.750 0.500
0.750 0.250 0.500
```



Below is crystalline Sr2LiCr at its relaxed geometry, with properties calculated at the PBE level.

Results
SG = Fm-3m
crystal system = cubic
E above lowest polymorph = 0.02 kcal/mol of atoms

```
Sr2LiCr
1.0
0.000 4.089 4.089
4.089 0.000 4.089
4.089 4.089 0.000
Sr Li Cr
2 1 1
direct
0.250 0.250 0.250
0.750 0.750 0.750
0.000 0.000 0.000
0.500 0.500 0.500
```



Below is crystalline TbTa2MnC4 at its relaxed geometry, with properties calculated at the PBE level.

Results
energy = -9.67 eV/atom
SG = Cmcm
crystal system = orthorhombic

```
TbTa2MnC4
1.0
1.610 -5.523 0.000
1.610 5.523 0.000
0.000 0.000 10.876
Tb Ta Mn C
2 4 2 8
direct
0.100 0.900 0.750
0.900 0.100 0.250
0.370 0.630 0.543
0.370 0.630 0.957
0.630 0.370 0.043
0.630 0.370 0.457
0.165 0.835 0.250
0.835 0.165 0.750
0.000 0.000 0.000
0.000 0.000 0.500
0.264 0.736 0.117
0.264 0.736 0.383
0.424 0.576 0.750
0.576 0.424 0.250
0.736 0.264 0.617
0.736 0.264 0.883
```



Below is crystalline Ac3LaPd4 at its relaxed geometry, with properties calculated at the PBE level.

Results
energy = -5.52 eV/atom
SG = Pm-3m
crystal system = cubic

```
Ac3LaPd4
1.0
6.196 0.000 0.000
0.000 6.196 0.000
0.000 0.000 6.196
Ac La Pd
3 1 4
direct
0.000 0.000 0.500
0.000 0.500 0.000
0.500 0.000 0.000
0.500 0.500 0.500
0.000 0.000 0.000
0.000 0.500 0.500
0.500 0.000 0.500
0.500 0.500 0.000
```



Below is crystalline DySc12Tl3 at its relaxed geometry, with properties calculated at the PBE level.

Results
energy = -5.61 eV/atom
SG = P4/mmm
crystal system = tetragonal

```
DySc12Tl3
1.0
4.547 0.000 0.000
0.000 4.547 0.000
0.000 0.000 18.555
Dy Sc Tl
1 12 3
direct
0.000 0.000 0.000
0.000 0.500 0.132
0.000 0.500 0.378
0.000 0.500 0.622
0.000 0.500 0.868
0.500 0.000 0.132
0.500 0.000 0.378
0.500 0.000 0.622
0.500 0.000 0.868
0.500 0.500 0.000
0.500 0.500 0.257
0.500 0.500 0.500
0.500 0.500 0.743
0.000 0.000 0.256
0.000 0.000 0.500
0.000 0.000 0.744
```



Below is crystalline Sr4Ca3Au2 at its relaxed geometry, with properties calculated at the PBE level.

Results
energy = -2.53 eV/atom
SG = C2/m
crystal system = monoclinic

```
Sr4Ca3Au2
1.0
9.272 -2.108 0.000
9.272 2.108 0.000
-4.265 0.000 9.149
Sr Ca Au
4 3 2
direct
0.127 0.127 0.387
0.269 0.269 0.852
0.731 0.731 0.148
0.873 0.873 0.613
0.427 0.427 0.303
0.500 0.500 0.000
0.573 0.573 0.697
0.105 0.105 0.930
0.895 0.895 0.070
```